Entry 1:
Here is a relaxed structure of Cs3YPa2O9 from the Alexandria database. Energies are from PBE.

a b c (Å): 6.3534 6.3534 7.7517
angles (deg): 90.00 90.00 120.00
With the nearest neighbours (Å) after each atom.
Atoms (fractional coordinates):
Cs 0.3333 0.6667 0.6643  12 O 3.16-3.18
Cs 0.0000 0.0000 0.0000  12 O 3.17-3.18
Cs 0.6667 0.3333 0.3357  12 O 3.16-3.18
Y 0.0000 0.0000 0.5000  6 O 2.33
Pa 0.3333 0.6667 0.1687  6 O 2.14-2.25
Pa 0.6667 0.3333 0.8313  6 O 2.14-2.25
O 0.8268 0.1732 0.6735  1 Pa 2.14, 1 Y 2.33
O 0.8268 0.6535 0.6735  1 Pa 2.14, 1 Y 2.33
O 0.3465 0.1732 0.6735  1 Pa 2.14, 1 Y 2.33
O 0.6535 0.8268 0.3265  1 Pa 2.14, 1 Y 2.33
O 0.1732 0.3465 0.3265  1 Pa 2.14, 1 Y 2.33
O 0.1732 0.8268 0.3265  1 Pa 2.14, 1 Y 2.33
O 0.5000 0.0000 0.0000  2 Pa 2.25
O 0.0000 0.5000 0.0000  2 Pa 2.25
O 0.5000 0.5000 0.0000  2 Pa 2.25

Summary:
Calculated density (g cm⁻³): 6.70
Size of the total moment (μB per cell): 2.11



Entry 2:
Here is a relaxed structure of Cs4YPa3O12 from the Alexandria database. Energies are from PBE.

a b c (Å): 7.7634 7.7634 7.7634
angles (deg): 109.47 109.47 109.47
With the nearest neighbours (Å) after each atom.
Atoms (fractional coordinates):
Cs 0.5000 0.5000 0.5000  12 O 3.17
Cs 0.0000 0.0000 0.5000  12 O 3.17
Cs 0.5000 0.0000 0.0000  12 O 3.17
Cs 0.0000 0.5000 0.0000  12 O 3.17
Y 0.0000 0.0000 0.0000  6 O 2.36
Pa 0.5000 0.0000 0.5000  6 O 2.12-2.24
Pa 0.5000 0.5000 0.0000  6 O 2.12-2.24
Pa 0.0000 0.5000 0.5000  6 O 2.12-2.24
O 0.2500 0.5000 0.7500  2 Pa 2.24
O 0.7365 0.0000 0.7365  1 Pa 2.12, 1 Y 2.36
O 0.2635 0.0000 0.2635  1 Pa 2.12, 1 Y 2.36
O 0.7500 0.5000 0.2500  2 Pa 2.24
O 0.7365 0.7365 0.0000  1 Pa 2.12, 1 Y 2.36
O 0.2635 0.2635 0.0000  1 Pa 2.12, 1 Y 2.36
O 0.7500 0.2500 0.5000  2 Pa 2.24
O 0.2500 0.7500 0.5000  2 Pa 2.24
O 0.5000 0.2500 0.7500  2 Pa 2.24
O 0.0000 0.7365 0.7365  1 Pa 2.12, 1 Y 2.36
O 0.5000 0.7500 0.2500  2 Pa 2.24
O 0.0000 0.2635 0.2635  1 Pa 2.12, 1 Y 2.36

Summary:
Calculated density (g cm⁻³): 6.94
Size of the total moment (μB per cell): 1.82



Entry 3:
Here is a relaxed structure of CsPa3Zn4O12 from the Alexandria database. Energies are from PBE.

a b c (Å): 7.3725 7.3725 7.3725
angles (deg): 105.54 105.54 105.54
With the nearest neighbours (Å) after each atom.
Atoms (fractional coordinates):
Cs 0.0000 0.0000 0.0000  6 O 3.04
Pa 0.5551 0.4449 0.0000  6 O 2.07-2.28
Pa 0.4449 0.0000 0.5551  6 O 2.07-2.28
Pa 0.0000 0.5551 0.4449  6 O 2.07-2.28
Zn 0.9435 0.0565 0.5000  3 O 1.89-1.92
Zn 0.0565 0.5000 0.9435  3 O 1.89-1.92
Zn 0.5000 0.9435 0.0565  3 O 1.89-1.92
Zn 0.5000 0.5000 0.5000  3 O 1.91
O 0.5000 0.3369 0.6631  1 Zn 1.91
O 0.8926 0.5000 0.1074  1 Zn 1.92
O 0.1074 0.8926 0.5000  1 Zn 1.92
O 0.5000 0.1074 0.8926  1 Zn 1.92
O 0.3835 0.9738 0.2567  1 Zn 1.89, 1 Pa 2.07
O 0.2567 0.3835 0.9738  1 Zn 1.89, 1 Pa 2.07
O 0.9738 0.2567 0.3835  1 Zn 1.89, 1 Pa 2.07
O 0.6165 0.7433 0.0262  1 Zn 1.89, 1 Pa 2.07
O 0.0262 0.6165 0.7433  1 Zn 1.89, 1 Pa 2.07
O 0.7433 0.0262 0.6165  1 Zn 1.89, 1 Pa 2.07
O 0.6631 0.5000 0.3369  1 Zn 1.91
O 0.3369 0.6631 0.5000  1 Zn 1.91

Summary:
Calculated density (g cm⁻³): 6.14
Size of the total moment (μB per cell): 0.00



Entry 4:
Here is a relaxed structure of Cs2PaZn2O6 from the Alexandria database. Energies are from PBE.

a b c (Å): 6.2464 6.2464 7.3914
angles (deg): 65.00 65.00 60.00
With the nearest neighbours (Å) after each atom.
Atoms (fractional coordinates):
Cs 0.7879 0.7879 0.6364  9 O 3.28-3.29, 1 Zn 3.67
Cs 0.2121 0.2121 0.3636  9 O 3.28-3.29, 1 Zn 3.67
Pa 0.0000 0.0000 0.0000  6 O 2.18
Zn 0.4016 0.4016 0.7953  3 O 1.87
Zn 0.5984 0.5984 0.2047  3 O 1.87
O 0.7717 0.7717 0.2041  1 Zn 1.87
O 0.2525 0.7717 0.2041  1 Zn 1.87
O 0.7717 0.2525 0.2041  1 Zn 1.87
O 0.2283 0.7475 0.7959  1 Zn 1.87
O 0.7475 0.2283 0.7959  1 Zn 1.87
O 0.2283 0.2283 0.7959  1 Zn 1.87

Summary:
Calculated density (g cm⁻³): 5.51
Size of the total moment (μB per cell): 0.72



Entry 5:
Here is a relaxed structure of CsZr2PaO8 from the Alexandria database. Energies are from PBE.

a b c (Å): 5.1167 5.1173 7.7809
angles (deg): 84.72 84.72 86.09
With the nearest neighbours (Å) after each atom.
Atoms (fractional coordinates):
Cs 0.0000 0.0000 0.5000  6 O 2.86-3.05
Zr 0.4881 0.4881 0.7915  4 O 2.00-2.18
Zr 0.5119 0.5119 0.2085  4 O 2.00-2.18
Pa 0.0000 0.0000 0.0000  6 O 2.14-2.33
O 0.1652 0.7363 0.1966  1 Zr 2.05, 1 Pa 2.14
O 0.6895 0.6895 0.9939  1 Zr 2.00
O 0.7363 0.1652 0.1966  1 Zr 2.05, 1 Pa 2.14
O 0.8348 0.2637 0.8034  1 Zr 2.05, 1 Pa 2.14
O 0.3105 0.3105 0.0061  1 Zr 2.00
O 0.2637 0.8348 0.8034  1 Zr 2.05, 1 Pa 2.14
O 0.5986 0.5986 0.4651  1 O 1.51
O 0.4014 0.4014 0.5349  1 O 1.51

Summary:
Calculated density (g cm⁻³): 5.55
Size of the total moment (μB per cell): 0.04



Entry 6:
Here is a relaxed structure of Cs2ZrPaO6 from the Alexandria database. Energies are from PBE.

a b c (Å): 6.2062 6.2062 8.7765
angles (deg): 90.00 90.00 90.00
With the nearest neighbours (Å) after each atom.
Atoms (fractional coordinates):
Cs 0.5000 0.7500 0.2500  12 O 3.10
Cs 0.0000 0.2500 0.7500  12 O 3.10
Cs 0.5000 0.7500 0.7500  12 O 3.10
Cs 0.0000 0.2500 0.2500  12 O 3.10
Zr 0.5000 0.2499 0.5000  6 O 2.17
Zr 0.0000 0.7501 0.0000  6 O 2.17
Pa 0.0000 0.7499 0.5000  6 O 2.22
Pa 0.5000 0.2501 0.0000  6 O 2.22
O 0.5000 0.2501 0.2526  1 Zr 2.17, 1 Pa 2.22
O 0.5000 0.2501 0.7474  1 Zr 2.17, 1 Pa 2.22
O 0.0000 0.7499 0.2474  1 Zr 2.17, 1 Pa 2.22
O 0.0000 0.7499 0.7526  1 Zr 2.17, 1 Pa 2.22
O 0.2526 0.0025 0.5000  1 Zr 2.17, 1 Pa 2.22
O 0.7474 0.0025 0.5000  1 Zr 2.17, 1 Pa 2.22
O 0.2526 0.4972 0.5000  1 Zr 2.17, 1 Pa 2.22
O 0.7474 0.4972 0.5000  1 Zr 2.17, 1 Pa 2.22
O 0.7526 0.5028 0.0000  1 Zr 2.17, 1 Pa 2.22
O 0.2474 0.5028 0.0000  1 Zr 2.17, 1 Pa 2.22
O 0.2474 0.9975 0.0000  1 Zr 2.17, 1 Pa 2.22
O 0.7526 0.9975 0.0000  1 Zr 2.17, 1 Pa 2.22

Summary:
Calculated density (g cm⁻³): 6.72
Size of the total moment (μB per cell): 2.13



Number 1: Fermi-level density of states 13.31 states/eV/f.u., formation energy (no corrections) -40.24 eV per formula unit. Number 2: Fermi-level density of states 20.16 states/eV/f.u., formation energy (no corrections) -55.60 eV per formula unit. Number 3: Fermi-level density of states 0.00 states/eV/f.u., formation energy (no corrections) -50.24 eV per formula unit. Number 4: Fermi-level density of states 11.40 states/eV/f.u., formation energy (no corrections) -22.21 eV per formula unit. Number 5: Fermi-level density of states 0.00 states/eV/f.u., formation energy (no corrections) -32.72 eV per formula unit. Number 6: Fermi-level density of states 7.60 states/eV/f.u., formation energy (no corrections) -26.54 eV per formula unit.